Entry 1:
Pm11Y9Sc4 | PBE-GGA | relaxed

Summary:
Formation enthalpy at 0 K = 45 meV/atom
E_tot = -5.612 eV/atom
Spin magnetization = 0.00 μB/f.u.

Geometry as CIF:
```
data_Pm11Y9Sc4
_cell_length_a 16.841
_cell_length_b 25.477
_cell_length_c 3.602
_cell_angle_alpha 90.00
_cell_angle_beta 90.00
_cell_angle_gamma 90.00
_symmetry_space_group_name_H-M 'C m m m'
_symmetry_Int_Tables_number 65
_symmetry_space_group_name_Hall '-C 2 2'
loop_
_atom_site_label
_atom_site_type_symbol
_atom_site_fract_x
_atom_site_fract_y
_atom_site_fract_z
_atom_site_occupancy
Pm1 Pm 0.000 0.000 0.000 1
Pm2 Pm 0.000 0.160 0.000 1
Pm3 Pm 0.000 0.371 0.000 1
Pm4 Pm 0.201 0.500 0.000 1
Pm5 Pm 0.227 0.180 0.000 1
Y1 Y 0.000 0.500 0.500 1
Y2 Y 0.103 0.269 0.500 1
Y3 Y 0.145 0.072 0.500 1
Sc1 Sc 0.156 0.398 0.500 1
```

---

Entry 2:
Li2Hg4PbAu | PBE-GGA | relaxed

Summary:
Formation enthalpy at 0 K = -182 meV/atom
E_tot = -1.685 eV/atom
Spin magnetization = 0.00 μB/f.u.

Geometry as CIF:
```
data_Li2Hg4PbAu
_cell_length_a 4.9551
_cell_length_b 4.9551
_cell_length_c 25.0017
_cell_angle_alpha 90.00
_cell_angle_beta 90.00
_cell_angle_gamma 120.00
_symmetry_space_group_name_H-M 'R -3 m'
_symmetry_Int_Tables_number 166
_symmetry_space_group_name_Hall '-R 3 2"'
loop_
_atom_site_label
_atom_site_type_symbol
_atom_site_fract_x
_atom_site_fract_y
_atom_site_fract_z
_atom_site_occupancy
Li1 Li 0.0000 0.0000 0.2456 1
Hg1 Hg 0.0000 0.0000 0.1295 1
Hg2 Hg 0.0000 0.0000 0.3833 1
Pb1 Pb 0.0000 0.0000 0.0000 1
Au1 Au 0.0000 0.0000 0.5000 1
```

---

Entry 3:
Ba2Na2LiTl5 | PBE-GGA | relaxed

Summary:
Formation enthalpy at 0 K = -217 meV/atom
E_tot = -2.240 eV/atom
Spin magnetization = 0.00 μB/f.u.

Geometry as CIF:
```
data_Ba2Na2LiTl5
_cell_length_a 12.329
_cell_length_b 12.329
_cell_length_c 4.076
_cell_angle_alpha 90.00
_cell_angle_beta 90.00
_cell_angle_gamma 90.00
_symmetry_space_group_name_H-M 'P 4/m b m'
_symmetry_Int_Tables_number 127
_symmetry_space_group_name_Hall '-P 4 2ab'
loop_
_atom_site_label
_atom_site_type_symbol
_atom_site_fract_x
_atom_site_fract_y
_atom_site_fract_z
_atom_site_occupancy
Ba1 Ba 0.176 0.324 0.000 1
Na1 Na 0.130 0.630 0.000 1
Li1 Li 0.000 0.000 0.000 1
Tl1 Tl 0.000 0.500 0.500 1
Tl2 Tl 0.047 0.819 0.500 1
```

---

Computed volume, in the same sequence as the records: 1545.3, 531.6, 619.5 Å³ per cell.